Here is an optimized crystal structure of PrDy12Er5 from Alexandria. Energies are from PBE.

Lattice parameters (Å, degrees): 15.0093 15.0334 5.0044 90.00 90.00 90.00
Space group Cmmm (No. 65)
Inequivalent atoms, fractional coordinates:
Pr 0.0000 0.0000 0.0000 x2
Dy 0.1658 0.3338 0.5000 x8
Dy 0.1658 0.5000 0.0000 x4
Dy 0.1673 0.1677 0.0000 x8
Dy 0.1682 0.0000 0.5000 x4
Er 0.0000 0.1684 0.5000 x4
Er 0.0000 0.3336 0.0000 x4
Er 0.0000 0.5000 0.5000 x2

Computed properties:
The calculation puts the final energy at -0.16832 hartree per atom. The formation energy comes out at 0.0207 eV per atom.

---

Here is an optimized crystal structure of Ba3NdDy3Se8 from Alexandria. Energies are from PBE.

Lattice parameters (Å, degrees): 8.4750 8.4750 22.5409 90.00 90.00 120.00
Space group R-3m (No. 166, hexagonal axes)
Inequivalent atoms, fractional coordinates:
Ba 0.0000 0.5000 0.0000 x9
Nd 0.0000 0.0000 0.5000 x3
Dy 0.0000 0.5000 0.5000 x9
Se 0.0000 0.0000 0.2376 x6
Se 0.0102 0.5051 0.7615 x18

Computed properties:
Its formation energy without anion corrections is -185.38 kJ/mol of atoms. The calculation puts the final energy at -0.19854 hartree per atom.

---

Here is an optimized crystal structure of UNi3S6 from Alexandria. Energies are from PBE.

Lattice parameters (Å, degrees): 9.9145 3.5295 11.2844 90.00 113.78 90.00
Space group P2_1/m (No. 11)
Inequivalent atoms, fractional coordinates:
U 0.1066 0.2500 0.3906 x2
Ni 0.0989 0.7500 0.9342 x2
Ni 0.3519 0.2500 0.2704 x2
Ni 0.4561 0.2500 0.9104 x2
S 0.0546 0.2500 0.7838 x2
S 0.1445 0.2500 0.0805 x2
S 0.1518 0.7500 0.5789 x2
S 0.3148 0.7500 0.3866 x2
S 0.3346 0.7500 0.9236 x2
S 0.4848 0.7500 0.2515 x2

Computed properties:
Its formation energy without anion corrections is -54.12 kJ/mol of atoms. The calculation puts the final energy at -0.21684 hartree per atom.

---

Here is an optimized crystal structure of NpH7Rh2 from Alexandria. Energies are from PBE.

Lattice parameters (Å, degrees): 5.2408 9.0156 3.5516 90.00 90.00 90.00
Space group Cmmm (No. 65)
Inequivalent atoms, fractional coordinates:
Np 0.0000 0.0000 0.0000 x2
H 0.0000 0.3164 0.0000 x4
H 0.0000 0.5000 0.5000 x2
H 0.1782 0.1421 0.5000 x8
Rh 0.0000 0.3141 0.5000 x4

Computed properties:
The calculation puts the final energy at -0.19241 hartree per atom.

---

- Among the records above, which one has the highest final energy?
  PrDy12Er5

---

- Among the records above, which one has the highest final energy?
  PrDy12Er5

---

What did the third record say?
Here is an optimized crystal structure of UNi3S6 from Alexandria. Energies are from PBE.

Lattice parameters (Å, degrees): 9.9145 3.5295 11.2844 90.00 113.78 90.00
Space group P2_1/m (No. 11)
Inequivalent atoms, fractional coordinates:
U 0.1066 0.2500 0.3906 x2
Ni 0.0989 0.7500 0.9342 x2
Ni 0.3519 0.2500 0.2704 x2
Ni 0.4561 0.2500 0.9104 x2
S 0.0546 0.2500 0.7838 x2
S 0.1445 0.2500 0.0805 x2
S 0.1518 0.7500 0.5789 x2
S 0.3148 0.7500 0.3866 x2
S 0.3346 0.7500 0.9236 x2
S 0.4848 0.7500 0.2515 x2

Computed properties:
Its formation energy without anion corrections is -54.12 kJ/mol of atoms. The calculation puts the final energy at -0.21684 hartree per atom.